The following is a DFT calculation (SCAN) of a crystal of Mn2SbP relaxed with PBEsol.

Cell and atoms, written as CIF:
```
data_Mn2SbP
_space_group_name_H-M_alt 'A m m 2'
_space_group_IT_number 38
_cell_length_a 2.8418
_cell_length_b 3.2581
_cell_length_c 12.6501
_cell_angle_alpha 90.00
_cell_angle_beta 90.00
_cell_angle_gamma 90.00
loop_
_space_group_symop_operation_xyz
'x,y,z'
'-x,-y,z'
'-x,y,z'
'x,-y,z'
'x,y+1/2,z+1/2'
'-x,-y+1/2,z+1/2'
'-x,y+1/2,z+1/2'
'x,-y+1/2,z+1/2'
loop_
_atom_site_label
_atom_site_fract_x
_atom_site_fract_y
_atom_site_fract_z
Mn1 0.0000 0.0000 0.0000
Mn2 0.5000 0.0000 0.1726
Sb1 0.0000 0.0000 0.7974
P1 0.5000 0.0000 0.5500
```

Values from the calculation:
- energy relative to the elements, uncorrected (eV per atom) = -0.19


The following is a DFT calculation (SCAN) of a crystal of Sc2Mn12P7 relaxed with PBEsol.

Cell and atoms, written as CIF:
```
data_Sc2Mn12P7
_space_group_name_H-M_alt 'P -6'
_space_group_IT_number 174
_cell_length_a 9.0316
_cell_length_b 9.0316
_cell_length_c 3.5093
_cell_angle_alpha 90.00
_cell_angle_beta 90.00
_cell_angle_gamma 120.00
loop_
_space_group_symop_operation_xyz
'x,y,z'
'-x+y,-x,-z'
'-y,x-y,z'
'x,y,-z'
'-x+y,-x,z'
'-y,x-y,-z'
loop_
_atom_site_label
_atom_site_fract_x
_atom_site_fract_y
_atom_site_fract_z
Sc1 0.0000 0.0000 0.0000
Sc2 0.3333 0.6667 0.5000
Mn1 0.0586 0.7695 0.5000
Mn2 0.0932 0.3819 0.0000
Mn3 0.3876 0.2132 0.0000
Mn4 0.5442 0.1113 0.5000
P1 0.0820 0.6228 0.0000
P2 0.2527 0.0500 0.5000
P3 0.6667 0.3333 0.0000
```

Values from the calculation:
- formation energy (kJ per mole of atoms) = -78.8


The following is a DFT calculation (SCAN) of a crystal of ScMnP2 relaxed with PBEsol.

Cell and atoms, written as CIF:
```
data_ScMnP2
_space_group_name_H-M_alt 'I m m 2'
_space_group_IT_number 44
_cell_length_a 2.8841
_cell_length_b 3.3274
_cell_length_c 11.8601
_cell_angle_alpha 90.00
_cell_angle_beta 90.00
_cell_angle_gamma 90.00
loop_
_space_group_symop_operation_xyz
'x,y,z'
'-x,-y,z'
'-x,y,z'
'x,-y,z'
'x+1/2,y+1/2,z+1/2'
'-x+1/2,-y+1/2,z+1/2'
'-x+1/2,y+1/2,z+1/2'
'x+1/2,-y+1/2,z+1/2'
loop_
_atom_site_label
_atom_site_fract_x
_atom_site_fract_y
_atom_site_fract_z
Sc1 0.0000 0.0000 0.0000
Mn1 0.0000 0.5000 0.7410
P1 0.0000 0.0000 0.3864
P2 0.0000 0.5000 0.1670
```

Values from the calculation:
- formation energy (kJ per mole of atoms) = -67.7


The following is a DFT calculation (SCAN) of a crystal of ScMnP2 relaxed with PBEsol.

Cell and atoms, written as CIF:
```
data_ScMnP2
_space_group_name_H-M_alt 'I m m m'
_space_group_IT_number 71
_space_group_name_Hall '-I 2 2'
_cell_length_a 3.7297
_cell_length_b 5.0592
_cell_length_c 6.0222
_cell_angle_alpha 90.00
_cell_angle_beta 90.00
_cell_angle_gamma 90.00
loop_
_atom_site_label
_atom_site_fract_x
_atom_site_fract_y
_atom_site_fract_z
Sc1 0.0000 0.0000 0.0000
Mn1 0.0000 0.0000 0.5000
P1 0.0000 0.5000 0.2017
```

Values from the calculation:
- formation energy (kJ per mole of atoms) = -53.0


The following is a DFT calculation (SCAN) of a crystal of ScMn2P relaxed with PBEsol.

Cell and atoms, written as CIF:
```
data_ScMn2P
_space_group_name_H-M_alt 'C 1 2/m 1'
_space_group_IT_number 12
_cell_length_a 8.0348
_cell_length_b 2.9961
_cell_length_c 4.4742
_cell_angle_alpha 90.00
_cell_angle_beta 104.65
_cell_angle_gamma 90.00
loop_
_space_group_symop_operation_xyz
'x,y,z'
'-x,-y,-z'
'-x,y,-z'
'x,-y,z'
'x+1/2,y+1/2,z'
'-x+1/2,-y+1/2,-z'
'-x+1/2,y+1/2,-z'
'x+1/2,-y+1/2,z'
loop_
_atom_site_label
_atom_site_fract_x
_atom_site_fract_y
_atom_site_fract_z
Sc1 0.0000 0.0000 0.0000
Mn1 0.2273 0.0000 0.6781
P1 0.0000 0.5000 0.5000
```

Values from the calculation:
- formation energy (kJ per mole of atoms) = -26.1


The following is a DFT calculation (SCAN) of a crystal of ScMnP2 relaxed with PBEsol.

Cell and atoms, written as CIF:
```
data_ScMnP2
_space_group_name_H-M_alt 'P 4/m m m'
_space_group_IT_number 123
_space_group_name_Hall '-P 4 2'
_cell_length_a 4.1563
_cell_length_b 4.1563
_cell_length_c 3.3240
_cell_angle_alpha 90.00
_cell_angle_beta 90.00
_cell_angle_gamma 90.00
loop_
_atom_site_label
_atom_site_fract_x
_atom_site_fract_y
_atom_site_fract_z
Sc1 0.0000 0.0000 0.0000
Mn1 0.5000 0.5000 0.0000
P1 0.0000 0.5000 0.5000
```

Values from the calculation:
- formation energy (kJ per mole of atoms) = -56.8


no.,final energy (eV per formula unit),density (g cm⁻³)
1,-84.9,7.45
2,-337.5,6.47
3,-56.1,4.72
4,-55.5,4.73
5,-62.2,5.92
6,-55.6,4.68